Li4AlCd2Ge | PBE | optimized geometry

Values from the calculation:
Electronic total energy, eV per atom: -2.486

Unit cell a=4.554 b=4.554 c=6.499 alpha=90.00 beta=90.00 gamma=90.00
Space group P-4m2 (No. 115)
Unique sites:
Li 0.000 0.000 0.000
Li 0.000 0.500 0.743
Li 0.500 0.500 0.500
Al 0.500 0.500 0.000
Cd 0.000 0.500 0.243
Ge 0.000 0.000 0.500